1.
HgPdSO, relaxed, DFT PBE-GGA; E = -3.480 eV per atom; theoretical density = 9.308 Mg/m³
1.0
3.6107 0.0000 0.0000
0.0000 12.7651 0.0000
0.0000 0.0000 5.4975
Hg Pd S O
4 4 4 4
direct
0.0000 0.0741 0.2500 Hg
0.0000 0.9259 0.7500 Hg
0.5000 0.4259 0.7500 Hg
0.5000 0.5741 0.2500 Hg
0.0000 0.3552 0.2500 Pd
0.0000 0.6448 0.7500 Pd
0.5000 0.1448 0.7500 Pd
0.5000 0.8552 0.2500 Pd
0.0000 0.2620 0.7500 S
0.0000 0.7380 0.2500 S
0.5000 0.2380 0.2500 S
0.5000 0.7620 0.7500 S
0.0000 0.5000 0.0000 O
0.0000 0.5000 0.5000 O
0.5000 0.0000 0.0000 O
0.5000 0.0000 0.5000 O

2.
HgPdSO, relaxed, DFT PBE-GGA; E = -3.886 eV per atom; theoretical density = 7.832 Mg/m³
1.0
6.3015 0.0000 0.0000
0.0000 6.4433 0.0000
0.0000 0.0000 7.4162
Hg Pd S O
4 4 4 4
direct
0.0463 0.1892 0.1955 Hg
0.4537 0.8108 0.6955 Hg
0.5463 0.3108 0.8045 Hg
0.9537 0.6892 0.3045 Hg
0.9997 0.0626 0.7511 Pd
0.0003 0.5626 0.7489 Pd
0.4997 0.4374 0.2489 Pd
0.5003 0.9374 0.2511 Pd
0.2292 0.3108 0.6272 S
0.2708 0.6892 0.1272 S
0.7292 0.1892 0.3728 S
0.7708 0.8108 0.8728 S
0.1291 0.8135 0.6140 O
0.3709 0.1865 0.1140 O
0.6291 0.6865 0.3860 O
0.8709 0.3135 0.8860 O

3.
HgPdSO, relaxed, DFT PBE-GGA; E = -3.453 eV per atom; theoretical density = 8.630 Mg/m³
1.0
3.9096 0.0000 0.0000
0.0000 3.9096 0.0000
0.0000 0.0000 8.9398
Hg Pd S O
2 2 2 2
direct
0.2500 0.2500 0.1450 Hg
0.7500 0.7500 0.8550 Hg
0.2500 0.2500 0.6639 Pd
0.7500 0.7500 0.3361 Pd
0.2500 0.7500 0.5000 S
0.7500 0.2500 0.5000 S
0.2500 0.2500 0.8991 O
0.7500 0.7500 0.1009 O

4.
HgPdSO, relaxed, DFT PBE-GGA; E = -3.808 eV per atom; theoretical density = 8.462 Mg/m³
1.0
3.3780 0.0000 0.0000
-1.6890 2.9254 0.0000
0.0000 0.0000 14.1024
Hg Pd S O
2 2 2 2
direct
0.0000 0.0000 0.0000 Hg
0.0000 0.0000 0.5000 Hg
0.3333 0.6667 0.2373 Pd
0.6667 0.3333 0.7373 Pd
0.3333 0.6667 0.8272 S
0.6667 0.3333 0.3272 S
0.0000 0.0000 0.1653 O
0.0000 0.0000 0.6653 O

5.
HgPdSO, relaxed, DFT PBE-GGA; E = -3.772 eV per atom; theoretical density = 8.661 Mg/m³
1.0
7.2355 0.0000 0.0000
0.0000 9.2272 0.0000
0.0000 0.0000 8.1579
Hg Pd S O
8 8 8 8
direct
0.2459 0.0460 0.0068 Hg
0.2459 0.4540 0.5068 Hg
0.2541 0.5460 0.0068 Hg
0.2541 0.9540 0.5068 Hg
0.7459 0.0460 0.4932 Hg
0.7459 0.4540 0.9932 Hg
0.7541 0.5460 0.4932 Hg
0.7541 0.9540 0.9932 Hg
0.0084 0.7176 0.2437 Pd
0.0084 0.7824 0.7437 Pd
0.4916 0.2176 0.2437 Pd
0.4916 0.2824 0.7437 Pd
0.5084 0.7176 0.2563 Pd
0.5084 0.7824 0.7563 Pd
0.9916 0.2176 0.2563 Pd
0.9916 0.2824 0.7563 Pd
0.0560 0.5326 0.7473 S
0.0560 0.9674 0.2473 S
0.4440 0.0326 0.7473 S
0.4440 0.4674 0.2473 S
0.5560 0.5326 0.7527 S
0.5560 0.9674 0.2527 S
0.9440 0.0326 0.7527 S
0.9440 0.4674 0.2527 S
0.2459 0.2165 0.3761 O
0.2459 0.2835 0.8761 O
0.2541 0.7165 0.3761 O
0.2541 0.7835 0.8761 O
0.7459 0.2165 0.1239 O
0.7459 0.2835 0.6239 O
0.7541 0.7165 0.1239 O
0.7541 0.7835 0.6239 O

6.
HgPdSeO, relaxed, DFT PBE-GGA; E = -3.499 eV per atom; theoretical density = 9.542 Mg/m³
1.0
4.0059 0.0000 0.0000
0.0000 4.0059 0.0000
0.0000 0.0000 8.7180
Hg Pd Se O
2 2 2 2
direct
0.2500 0.7500 0.0000 Hg
0.7500 0.2500 0.0000 Hg
0.2500 0.2500 0.2460 Pd
0.7500 0.7500 0.7540 Pd
0.2500 0.2500 0.6865 Se
0.7500 0.7500 0.3135 Se
0.2500 0.2500 0.4925 O
0.7500 0.7500 0.5075 O

7.
HgPdSeO, relaxed, DFT PBE-GGA; E = -3.627 eV per atom; theoretical density = 6.800 Mg/m³
1.0
4.1586 0.0000 0.0000
0.0000 4.1586 0.0000
0.0000 0.0000 11.3517
Hg Pd Se O
2 2 2 2
direct
0.2500 0.2500 0.0060 Hg
0.7500 0.7500 0.9940 Hg
0.2500 0.7500 0.5000 Pd
0.7500 0.2500 0.5000 Pd
0.2500 0.2500 0.6263 Se
0.7500 0.7500 0.3737 Se
0.2500 0.2500 0.7756 O
0.7500 0.7500 0.2244 O

8.
HgPdSeO, relaxed, DFT PBE-GGA; E = -3.339 eV per atom; theoretical density = 8.988 Mg/m³
1.0
4.1191 0.0000 0.0000
0.0000 4.1191 0.0000
0.0000 0.0000 8.7538
Hg Pd Se O
2 2 2 2
direct
0.2500 0.2500 0.1538 Hg
0.7500 0.7500 0.8462 Hg
0.2500 0.2500 0.6763 Pd
0.7500 0.7500 0.3237 Pd
0.2500 0.7500 0.5000 Se
0.7500 0.2500 0.5000 Se
0.2500 0.2500 0.9093 O
0.7500 0.7500 0.0907 O

9.
HgPdSeO, relaxed, DFT PBE-GGA; E = -3.543 eV per atom; theoretical density = 9.098 Mg/m³
1.0
6.3180 0.0000 0.0000
0.0000 6.5397 0.0000
0.0000 0.0000 7.1028
Hg Pd Se O
4 4 4 4
direct
0.1009 0.0891 0.4118 Hg
0.3991 0.9109 0.9118 Hg
0.6009 0.4109 0.5882 Hg
0.8991 0.5891 0.0882 Hg
0.1673 0.3212 0.8729 Pd
0.3327 0.6788 0.3729 Pd
0.6673 0.1788 0.1271 Pd
0.8327 0.8212 0.6271 Pd
0.1733 0.6389 0.6822 Se
0.3267 0.3611 0.1822 Se
0.6733 0.8611 0.3178 Se
0.8267 0.1389 0.8178 Se
0.1711 0.8347 0.1569 O
0.3289 0.1653 0.6569 O
0.6711 0.6653 0.8431 O
0.8289 0.3347 0.3431 O

10.
HgPdSeO, relaxed, DFT PBE-GGA; E = -3.612 eV per atom; theoretical density = 9.229 Mg/m³
1.0
9.1573 0.0000 0.0000
0.0000 6.5504 0.0000
0.0000 0.0000 4.8227
Hg Pd Se O
4 4 4 4
direct
0.0944 0.1160 0.2500 Hg
0.0944 0.3840 0.7500 Hg
0.9056 0.6160 0.2500 Hg
0.9056 0.8840 0.7500 Hg
0.3547 0.6142 0.2500 Pd
0.3547 0.8858 0.7500 Pd
0.6453 0.1142 0.2500 Pd
0.6453 0.3858 0.7500 Pd
0.3777 0.0077 0.2500 Se
0.3777 0.4923 0.7500 Se
0.6223 0.5077 0.2500 Se
0.6223 0.9923 0.7500 Se
0.1343 0.5014 0.2500 O
0.1343 0.9986 0.7500 O
0.8657 0.0014 0.2500 O
0.8657 0.4986 0.7500 O

Which of these has the lowest theoretical density? number 7